# 1
# Ca4AcPt2 (PBE, optimized geometry)
# Energy of formation from the pure elements, eV per atom: -0.640
data_Ca4AcPt2
_cell_length_a 8.123
_cell_length_b 6.490
_cell_length_c 8.582
_cell_angle_alpha 90.00
_cell_angle_beta 112.16
_cell_angle_gamma 90.00
_space_group_name_H-M_alt 'P 1 21/m 1'
_space_group_IT_number 11
_space_group_name_Hall '-P 2yb'
loop_
_atom_site_label
_atom_site_type_symbol
_atom_site_fract_x
_atom_site_fract_y
_atom_site_fract_z
Ca1 Ca 0.112 0.250 0.482
Ca2 Ca 0.154 0.750 0.223
Ca3 Ca 0.261 0.000 0.921
Ac1 Ac 0.490 0.250 0.347
Pt1 Pt 0.099 0.250 0.136
Pt2 Pt 0.477 0.250 0.749

# 2
# CaAc4Pt2 (PBE, optimized geometry)
# Energy of formation from the pure elements, eV per atom: -0.574
data_CaAc4Pt2
_cell_length_a 10.940
_cell_length_b 11.947
_cell_length_c 9.074
_cell_angle_alpha 90.00
_cell_angle_beta 113.74
_cell_angle_gamma 90.00
_space_group_name_H-M_alt 'C 1 2 1'
_space_group_IT_number 5
_space_group_name_Hall 'C 2y'
loop_
_atom_site_label
_atom_site_type_symbol
_atom_site_fract_x
_atom_site_fract_y
_atom_site_fract_z
Ca1 Ca 0.000 0.000 0.000
Ca2 Ca 0.000 0.027 0.500
Ac1 Ac 0.000 0.765 0.248
Ac2 Ac 0.018 0.272 0.237
Ac3 Ac 0.196 0.490 0.614
Ac4 Ac 0.203 0.537 0.084
Pt1 Pt 0.016 0.519 0.255
Pt2 Pt 0.209 0.818 0.098

# 3
# Ca2Ac2Pt (PBE, optimized geometry)
# Energy of formation from the pure elements, eV per atom: -0.457
data_Ca2Ac2Pt
_cell_length_a 5.926
_cell_length_b 5.926
_cell_length_c 5.861
_cell_angle_alpha 90.00
_cell_angle_beta 90.00
_cell_angle_gamma 90.00
_space_group_name_H-M_alt 'P 4/m m m'
_space_group_IT_number 123
_space_group_name_Hall '-P 4 2'
loop_
_atom_site_label
_atom_site_type_symbol
_atom_site_fract_x
_atom_site_fract_y
_atom_site_fract_z
Ca1 Ca 0.000 0.000 0.000
Ca2 Ca 0.500 0.500 0.000
Ac1 Ac 0.000 0.500 0.500
Pt1 Pt 0.000 0.000 0.500

# 4
# Ca4Ac3Pt4 (PBE, optimized geometry)
# Energy of formation from the pure elements, eV per atom: -0.834
data_Ca4Ac3Pt4
_cell_length_a 4.117
_cell_length_b 8.932
_cell_length_c 17.174
_cell_angle_alpha 90.00
_cell_angle_beta 90.00
_cell_angle_gamma 90.00
_space_group_name_H-M_alt 'I m m m'
_space_group_IT_number 71
_space_group_name_Hall '-I 2 2'
loop_
_atom_site_label
_atom_site_type_symbol
_atom_site_fract_x
_atom_site_fract_y
_atom_site_fract_z
Ca1 Ca 0.000 0.185 0.174
Ac1 Ac 0.000 0.000 0.398
Ac2 Ac 0.000 0.500 0.500
Pt1 Pt 0.000 0.275 0.000
Pt2 Pt 0.000 0.500 0.241

# 5
# Ca3Ac3Pt4 (PBE, optimized geometry)
# Energy of formation from the pure elements, eV per atom: -0.933
data_Ca3Ac3Pt4
_cell_length_a 4.251
_cell_length_b 11.401
_cell_length_c 11.564
_cell_angle_alpha 90.00
_cell_angle_beta 90.00
_cell_angle_gamma 90.00
_space_group_name_H-M_alt 'A m m 2'
_space_group_IT_number 38
_space_group_name_Hall 'A 2 -2'
loop_
_atom_site_label
_atom_site_type_symbol
_atom_site_fract_x
_atom_site_fract_y
_atom_site_fract_z
Ca1 Ca 0.000 0.000 0.000
Ca2 Ca 0.500 0.242 0.083
Ac1 Ac 0.000 0.000 0.678
Ac2 Ac 0.000 0.163 0.335
Pt1 Pt 0.500 0.000 0.198
Pt2 Pt 0.500 0.000 0.477
Pt3 Pt 0.500 0.136 0.833

# 6
# CaAc8Pt6 (PBE, optimized geometry)
# Energy of formation from the pure elements, eV per atom: -0.920
data_CaAc8Pt6
_cell_length_a 7.6476
_cell_length_b 7.6476
_cell_length_c 31.1256
_cell_angle_alpha 90.00
_cell_angle_beta 90.00
_cell_angle_gamma 120.00
_space_group_name_H-M_alt 'R -3'
_space_group_IT_number 148
_space_group_name_Hall '-R 3'
loop_
_atom_site_label
_atom_site_type_symbol
_atom_site_fract_x
_atom_site_fract_y
_atom_site_fract_z
Ca1 Ca 0.0000 0.0000 0.0000
Ac1 Ac 0.0000 0.0000 0.3333
Ac2 Ac 0.0002 0.3341 0.8918
Pt1 Pt 0.0002 0.3320 0.0582

# 7
# CaAc3Pt8 (PBE, optimized geometry)
# Energy of formation from the pure elements, eV per atom: -1.021
data_CaAc3Pt8
_cell_length_a 5.6059
_cell_length_b 5.6059
_cell_length_c 27.5631
_cell_angle_alpha 90.00
_cell_angle_beta 90.00
_cell_angle_gamma 120.00
_space_group_name_H-M_alt 'R 3 m'
_space_group_IT_number 160
_space_group_name_Hall 'R 3 -2"'
loop_
_atom_site_label
_atom_site_type_symbol
_atom_site_fract_x
_atom_site_fract_y
_atom_site_fract_z
Ca1 Ca 0.0000 0.0000 0.0000
Ac1 Ac 0.0000 0.0000 0.3695
Ac2 Ac 0.0000 0.0000 0.4964
Ac3 Ac 0.0000 0.0000 0.8766
Pt1 Pt 0.0000 0.0000 0.1853
Pt2 Pt 0.0000 0.0000 0.6849
Pt3 Pt 0.9997 0.4998 0.4346
Pt4 Pt 0.1673 0.3346 0.2693

# 8
# Ca3AcPt4 (PBE, optimized geometry)
# Energy of formation from the pure elements, eV per atom: -0.941
data_Ca3AcPt4
_cell_length_a 10.100
_cell_length_b 7.157
_cell_length_c 5.052
_cell_angle_alpha 90.00
_cell_angle_beta 90.00
_cell_angle_gamma 90.00
_space_group_name_H-M_alt 'P m m a'
_space_group_IT_number 51
_space_group_name_Hall '-P 2a 2a'
loop_
_atom_site_label
_atom_site_type_symbol
_atom_site_fract_x
_atom_site_fract_y
_atom_site_fract_z
Ca1 Ca 0.000 0.000 0.000
Ca2 Ca 0.250 0.000 0.499
Ca3 Ca 0.250 0.500 0.500
Ac1 Ac 0.000 0.500 0.000
Pt1 Pt 0.000 0.243 0.500
Pt2 Pt 0.250 0.243 0.999

# 9
# CaAc4Pt5 (PBE, optimized geometry)
# Energy of formation from the pure elements, eV per atom: -1.077
data_CaAc4Pt5
_cell_length_a 4.354
_cell_length_b 4.354
_cell_length_c 30.671
_cell_angle_alpha 90.00
_cell_angle_beta 90.00
_cell_angle_gamma 90.00
_space_group_name_H-M_alt 'I 4/m m m'
_space_group_IT_number 139
_space_group_name_Hall '-I 4 2'
loop_
_atom_site_label
_atom_site_type_symbol
_atom_site_fract_x
_atom_site_fract_y
_atom_site_fract_z
Ca1 Ca 0.000 0.000 0.000
Ac1 Ac 0.000 0.000 0.199
Ac2 Ac 0.000 0.000 0.403
Pt1 Pt 0.000 0.000 0.099
Pt2 Pt 0.000 0.000 0.300
Pt3 Pt 0.000 0.000 0.500

# 10
# CaAcPt2 (PBE, optimized geometry)
# Excess energy over the best structure of this formula in the dataset, meV/atom: 137
# Energy of formation from the pure elements, eV per atom: -0.922
data_CaAcPt2
_cell_length_a 4.2555
_cell_length_b 4.2555
_cell_length_c 21.0630
_cell_angle_alpha 90.00
_cell_angle_beta 90.00
_cell_angle_gamma 120.00
_space_group_name_H-M_alt 'R 3 m'
_space_group_IT_number 160
_space_group_name_Hall 'R 3 -2"'
loop_
_atom_site_label
_atom_site_type_symbol
_atom_site_fract_x
_atom_site_fract_y
_atom_site_fract_z
Ca1 Ca 0.0000 0.0000 0.0000
Ac1 Ac 0.0000 0.0000 0.8274
Pt1 Pt 0.0000 0.0000 0.2518
Pt2 Pt 0.0000 0.0000 0.4071

# 11
# CaAc2Pt2 (PBE, optimized geometry)
# Energy of formation from the pure elements, eV per atom: -0.963
data_CaAc2Pt2
_cell_length_a 8.229
_cell_length_b 8.229
_cell_length_c 4.263
_cell_angle_alpha 90.00
_cell_angle_beta 90.00
_cell_angle_gamma 90.00
_space_group_name_H-M_alt 'P 4/m b m'
_space_group_IT_number 127
_space_group_name_Hall '-P 4 2ab'
loop_
_atom_site_label
_atom_site_type_symbol
_atom_site_fract_x
_atom_site_fract_y
_atom_site_fract_z
Ca1 Ca 0.000 0.000 0.000
Ac1 Ac 0.162 0.338 0.500
Pt1 Pt 0.140 0.640 0.000

# 12
# Ca2Ac2Pt2Rh (PBE, optimized geometry)
# Energy of formation from the pure elements, eV per atom: -0.783
data_Ca2Ac2Pt2Rh
_cell_length_a 4.046
_cell_length_b 7.554
_cell_length_c 8.043
_cell_angle_alpha 117.60
_cell_angle_beta 90.03
_cell_angle_gamma 105.47
_space_group_name_H-M_alt 'P -1'
_space_group_IT_number 2
_space_group_name_Hall '-P 1'
loop_
_atom_site_label
_atom_site_type_symbol
_atom_site_fract_x
_atom_site_fract_y
_atom_site_fract_z
Ca1 Ca 0.216 0.433 0.293
Ac1 Ac 0.463 0.925 0.229
Pt1 Pt 0.112 0.224 0.546
Rh1 Rh 0.000 0.000 0.000

Number 1: density of states at the Fermi level 9.9 states/eV/cell. Number 2: density of states at the Fermi level 30.0 states/eV/cell. Number 3: density of states at the Fermi level 4.7 states/eV/cell. Number 4: density of states at the Fermi level 14.4 states/eV/cell. Number 5: density of states at the Fermi level 11.6 states/eV/cell. Number 6: density of states at the Fermi level 34.8 states/eV/cell. Number 7: density of states at the Fermi level 17.5 states/eV/cell. Number 8: density of states at the Fermi level 5.2 states/eV/cell. Number 9: density of states at the Fermi level 10.1 states/eV/cell. Number 10: density of states at the Fermi level 6.5 states/eV/cell. Number 11: density of states at the Fermi level 6.2 states/eV/cell. Number 12: density of states at the Fermi level 4.4 states/eV/cell.